[1]
# CaZr | the Alexandria database | SCAN | single point on PBEsol structure
# ΔH_f (0 K) = 456 meV/atom
# relative energy among the computed polymorphs = 197 meV per atom
# total energy = -39.45 eV/f.u.
# Fermi-level density of states = 3.66 states/eV per cell
data_CaZr
_chemical_formula_sum 'Ca2 Zr2'
_space_group_name_H-M_alt 'P 1'
_space_group_IT_number 1
_cell_length_a 5.364
_cell_length_b 5.364
_cell_length_c 5.364
_cell_angle_alpha 60.00
_cell_angle_beta 60.00
_cell_angle_gamma 60.00
loop_
_space_group_symop_operation_xyz
'x,y,z'
loop_
_atom_site_label
_atom_site_type_symbol
_atom_site_fract_x
_atom_site_fract_y
_atom_site_fract_z
Zr1 Zr 0.250 0.250 0.250
Zr2 Zr 0.000 0.000 0.000
Ca1 Ca 0.500 0.500 0.500
Ca2 Ca 0.750 0.750 0.750

[2]
# CaZr | the Alexandria database | SCAN | single point on PBEsol structure
# ΔH_f (0 K) = 446 meV/atom
# relative energy among the computed polymorphs = 187 meV per atom
# total energy = -39.47 eV/f.u.
# Fermi-level density of states = 1.55 states/eV per cell
data_CaZr
_chemical_formula_sum 'Ca1 Zr1'
_space_group_name_H-M_alt 'P 1'
_space_group_IT_number 1
_cell_length_a 3.242
_cell_length_b 3.242
_cell_length_c 6.170
_cell_angle_alpha 74.77
_cell_angle_beta 74.77
_cell_angle_gamma 60.00
loop_
_space_group_symop_operation_xyz
'x,y,z'
loop_
_atom_site_label
_atom_site_type_symbol
_atom_site_fract_x
_atom_site_fract_y
_atom_site_fract_z
Zr1 Zr 0.500 0.500 0.500
Ca1 Ca 0.000 0.000 0.000

[3]
# Cd | the Alexandria database | SCAN | single point on PBEsol structure
# ΔH_f (0 K) = 83 meV/atom
# relative energy among the computed polymorphs = 83 meV per atom
# total energy = -30.33 eV/f.u.
# Fermi-level density of states = 0.70 states/eV per cell
data_Cd
_chemical_formula_sum 'Cd2'
_space_group_name_H-M_alt 'P 1'
_space_group_IT_number 1
_cell_length_a 3.021
_cell_length_b 3.021
_cell_length_c 5.399
_cell_angle_alpha 106.25
_cell_angle_beta 106.25
_cell_angle_gamma 90.00
loop_
_space_group_symop_operation_xyz
'x,y,z'
loop_
_atom_site_label
_atom_site_type_symbol
_atom_site_fract_x
_atom_site_fract_y
_atom_site_fract_z
Cd1 Cd 0.860 0.860 0.720
Cd2 Cd 0.140 0.140 0.280

[4]
# Cd | the Alexandria database | SCAN | single point on PBEsol structure
# ΔH_f (0 K) = 87 meV/atom
# relative energy among the computed polymorphs = 87 meV per atom
# total energy = -30.33 eV/f.u.
# Fermi-level density of states = 0.32 states/eV per cell
data_Cd
_chemical_formula_sum 'Cd1'
_space_group_name_H-M_alt 'P 1'
_space_group_IT_number 1
_cell_length_a 3.021
_cell_length_b 3.021
_cell_length_c 3.021
_cell_angle_alpha 109.47
_cell_angle_beta 109.47
_cell_angle_gamma 109.47
loop_
_space_group_symop_operation_xyz
'x,y,z'
loop_
_atom_site_label
_atom_site_type_symbol
_atom_site_fract_x
_atom_site_fract_y
_atom_site_fract_z
Cd1 Cd 0.000 0.000 0.000

[5]
# Cd | the Alexandria database | SCAN | single point on PBEsol structure
# ΔH_f (0 K) = 7 meV/atom
# relative energy among the computed polymorphs = 7 meV per atom
# total energy = -30.41 eV/f.u.
# Fermi-level density of states = 1.00 states/eV per cell
data_Cd
_chemical_formula_sum 'Cd3'
_space_group_name_H-M_alt 'P 1'
_space_group_IT_number 1
_cell_length_a 2.968
_cell_length_b 2.967
_cell_length_c 8.372
_cell_angle_alpha 79.47
_cell_angle_beta 79.79
_cell_angle_gamma 59.98
loop_
_space_group_symop_operation_xyz
'x,y,z'
loop_
_atom_site_label
_atom_site_type_symbol
_atom_site_fract_x
_atom_site_fract_y
_atom_site_fract_z
Cd1 Cd 0.000 0.000 0.000
Cd2 Cd 0.220 0.225 0.334
Cd3 Cd 0.780 0.775 0.666

[6]
# Cd | the Alexandria database | SCAN | single point on PBEsol structure
# ΔH_f (0 K) = 18 meV/atom
# relative energy among the computed polymorphs = 18 meV per atom
# total energy = -30.40 eV/f.u.
# Fermi-level density of states = 0.33 states/eV per cell
data_Cd
_chemical_formula_sum 'Cd1'
_space_group_name_H-M_alt 'P 1'
_space_group_IT_number 1
_cell_length_a 3.003
_cell_length_b 3.003
_cell_length_c 3.003
_cell_angle_alpha 64.26
_cell_angle_beta 64.26
_cell_angle_gamma 64.26
loop_
_space_group_symop_operation_xyz
'x,y,z'
loop_
_atom_site_label
_atom_site_type_symbol
_atom_site_fract_x
_atom_site_fract_y
_atom_site_fract_z
Cd1 Cd 0.500 0.500 0.500

[7]
# Cd | the Alexandria database | SCAN | single point on PBEsol structure
# ΔH_f (0 K) = 0 meV/atom
# relative energy among the computed polymorphs = 0 meV per atom
# total energy = -30.41 eV/f.u.
# Fermi-level density of states = 0.46 states/eV per cell
data_Cd
_chemical_formula_sum 'Cd2'
_space_group_name_H-M_alt 'P 1'
_space_group_IT_number 1
_cell_length_a 2.960
_cell_length_b 2.960
_cell_length_c 5.471
_cell_angle_alpha 90.00
_cell_angle_beta 90.00
_cell_angle_gamma 120.00
loop_
_space_group_symop_operation_xyz
'x,y,z'
loop_
_atom_site_label
_atom_site_type_symbol
_atom_site_fract_x
_atom_site_fract_y
_atom_site_fract_z
Cd1 Cd 0.333 0.667 0.250
Cd2 Cd 0.667 0.333 0.750

[8]
# Cd | the Alexandria database | SCAN | single point on PBEsol structure
# ΔH_f (0 K) = 97 meV/atom
# relative energy among the computed polymorphs = 97 meV per atom
# total energy = -30.32 eV/f.u.
# Fermi-level density of states = 1.34 states/eV per cell
data_Cd
_chemical_formula_sum 'Cd3'
_space_group_name_H-M_alt 'P 1'
_space_group_IT_number 1
_cell_length_a 2.982
_cell_length_b 4.982
_cell_length_c 4.982
_cell_angle_alpha 120.00
_cell_angle_beta 90.00
_cell_angle_gamma 90.00
loop_
_space_group_symop_operation_xyz
'x,y,z'
loop_
_atom_site_label
_atom_site_type_symbol
_atom_site_fract_x
_atom_site_fract_y
_atom_site_fract_z
Cd1 Cd 0.500 0.333 0.667
Cd2 Cd 0.000 0.000 0.000
Cd3 Cd 0.500 0.667 0.333

[9]
# Cd | the Alexandria database | SCAN | single point on PBEsol structure
# ΔH_f (0 K) = 138 meV/atom
# relative energy among the computed polymorphs = 138 meV per atom
# total energy = -30.28 eV/f.u.
# Fermi-level density of states = 0.73 states/eV per cell
data_Cd
_chemical_formula_sum 'Cd2'
_space_group_name_H-M_alt 'P 1'
_space_group_IT_number 1
_cell_length_a 2.868
_cell_length_b 4.288
_cell_length_c 4.288
_cell_angle_alpha 83.58
_cell_angle_beta 70.46
_cell_angle_gamma 70.46
loop_
_space_group_symop_operation_xyz
'x,y,z'
loop_
_atom_site_label
_atom_site_type_symbol
_atom_site_fract_x
_atom_site_fract_y
_atom_site_fract_z
Cd1 Cd 0.000 0.000 0.000
Cd2 Cd 0.750 0.500 0.500

[10]
# Cd | the Alexandria database | SCAN | single point on PBEsol structure
# ΔH_f (0 K) = 78 meV/atom
# relative energy among the computed polymorphs = 78 meV per atom
# total energy = -30.34 eV/f.u.
# Fermi-level density of states = 0.52 states/eV per cell
data_Cd
_chemical_formula_sum 'Cd2'
_space_group_name_H-M_alt 'P 1'
_space_group_IT_number 1
_cell_length_a 3.518
_cell_length_b 3.518
_cell_length_c 3.518
_cell_angle_alpha 84.16
_cell_angle_beta 84.16
_cell_angle_gamma 84.16
loop_
_space_group_symop_operation_xyz
'x,y,z'
loop_
_atom_site_label
_atom_site_type_symbol
_atom_site_fract_x
_atom_site_fract_y
_atom_site_fract_z
Cd1 Cd 0.250 0.250 0.250
Cd2 Cd 0.750 0.750 0.750

[11]
# Cd | the Alexandria database | SCAN | single point on PBEsol structure
# ΔH_f (0 K) = 1 meV/atom
# relative energy among the computed polymorphs = 1 meV per atom
# total energy = -30.41 eV/f.u.
# Fermi-level density of states = 0.25 states/eV per cell
data_Cd
_chemical_formula_sum 'Cd1'
_space_group_name_H-M_alt 'P 1'
_space_group_IT_number 1
_cell_length_a 2.873
_cell_length_b 3.080
_cell_length_c 3.080
_cell_angle_alpha 77.44
_cell_angle_beta 62.20
_cell_angle_gamma 62.20
loop_
_space_group_symop_operation_xyz
'x,y,z'
loop_
_atom_site_label
_atom_site_type_symbol
_atom_site_fract_x
_atom_site_fract_y
_atom_site_fract_z
Cd1 Cd 0.000 0.000 0.000

[12]
# Ce3Cd | the Alexandria database | SCAN | single point on PBEsol structure
# ΔH_f (0 K) = -88 meV/atom
# total energy = -164.46 eV/f.u.
# Fermi-level density of states = 7.54 states/eV per cell
data_Ce3Cd
_chemical_formula_sum 'Ce3 Cd1'
_space_group_name_H-M_alt 'P 1'
_space_group_IT_number 1
_cell_length_a 4.608
_cell_length_b 4.608
_cell_length_c 5.707
_cell_angle_alpha 113.81
_cell_angle_beta 113.81
_cell_angle_gamma 90.00
loop_
_space_group_symop_operation_xyz
'x,y,z'
loop_
_atom_site_label
_atom_site_type_symbol
_atom_site_fract_x
_atom_site_fract_y
_atom_site_fract_z
Ce1 Ce 0.250 0.750 0.500
Ce2 Ce 0.500 0.500 0.000
Ce3 Ce 0.750 0.250 0.500
Cd1 Cd 0.000 0.000 0.000